No. 1
The following is a PBE calculation of crystalline LiZr2Ga2 at its relaxed geometry, from the Alexandria database.

- ρ (Mg/m³) = 5.7
- DFT formation energy (eV/atom) = -0.4043
- total moment (μB per formula unit) = 0.00
- density of states at the Fermi level (states/eV/cell) = 8.375
- V (Å³/cell) = 190.33

The structure in POSCAR format:
```
LiZr2Ga2
1.0
6.952 0.000 0.000
0.000 6.952 0.000
0.000 0.000 3.938
Li Zr Ga
2 4 4
direct
0.000 0.000 0.000
0.500 0.500 0.000
0.175 0.325 0.500
0.325 0.825 0.500
0.675 0.175 0.500
0.825 0.675 0.500
0.129 0.629 0.000
0.371 0.129 0.000
0.629 0.871 0.000
0.871 0.371 0.000
```


No. 2
The following is a PBE calculation of crystalline Ac2Nd4Tm at its relaxed geometry, from the Alexandria database.

- ρ (Mg/m³) = 7.4
- DFT formation energy (eV/atom) = 0.2892
- total moment (μB per formula unit) = 0.00
- density of states at the Fermi level (states/eV/cell) = 23.878
- V (Å³/cell) = 535.92

The structure in POSCAR format:
```
Ac2Nd4Tm
1.0
-5.114 5.114 5.124
5.114 -5.114 5.124
5.114 5.114 -5.124
Ac Nd Tm
4 8 2
direct
0.375 0.015 0.140
0.765 0.625 0.640
0.875 0.235 0.860
0.985 0.125 0.360
0.141 0.036 0.743
0.149 0.543 0.757
0.293 0.399 0.257
0.457 0.214 0.605
0.601 0.859 0.895
0.609 0.851 0.395
0.786 0.391 0.243
0.964 0.707 0.105
0.250 0.750 0.500
0.500 0.500 0.000
```


Question: V of number 1 (LiZr2Ga2)?
Answer: 190.33 Å³/cell


Question: ρ of number 2 (Ac2Nd4Tm)?
Answer: 7.4 Mg/m³


Question: What is the total moment in the second record?
Answer: 0.00 μB per formula unit


Question: Among the records above, which one has the lowest DFT formation energy?
Answer: LiZr2Ga2